## a
Entry from the Alexandria database: an optimized crystal structure of SmHo12Tm7 (PBE).

It has space group Im-3 (No. 204), with a = 11.2286 Å, b = 11.2286 Å, c = 11.2286 Å, α = 90.00°, β = 90.00° and γ = 90.00°. The inequivalent atoms are Sm at (0.0000, 0.0000, 0.0000), Ho at (0.0000, 0.2569, 0.2557), Tm at (0.0000, 0.0000, 0.5000) and Tm at (0.2500, 0.2500, 0.2500).

The mass density is 7.8 g/cm3. For the density of states at the Fermi level, the calculation gives 24.2 states/eV/f.u. The crystal system is cubic. Its total magnetization is 0.00 μB per formula unit.

## b
Entry from the Alexandria database: an optimized crystal structure of SmHo12Tm7 (PBE).

It has space group R-3 (No. 148, hexagonal axes), with a = 12.7082 Å, b = 12.7082 Å, c = 13.5064 Å, α = 90.00°, β = 90.00° and γ = 120.00°. The inequivalent atoms are Sm at (0.0000, 0.0000, 0.0000), Ho at (0.0026, 0.5656, 0.2475), Ho at (0.0686, 0.8699, 0.3448), Tm at (0.0000, 0.0000, 0.5000) and Tm at (0.0686, 0.2015, 0.8512).

The mass density is 8.7 g/cm3. For the density of states at the Fermi level, the calculation gives 18.5 states/eV/f.u. The crystal system is trigonal. Its total magnetization is 0.00 μB per formula unit.

Structures ranked by computed energy, the most stable listed first: b, a.

## a
Entry from the Alexandria database: an optimized crystal structure of Sm2Ho2Tm5 (PBE).

It has space group P-1 (No. 2), with a = 3.5660 Å, b = 8.7442 Å, c = 9.3951 Å, α = 76.77°, β = 79.11° and γ = 89.95°. The inequivalent atoms are Sm at (0.0919, 0.3343, 0.3147), Ho at (0.1665, 0.0000, 0.1665), Tm at (0.2410, 0.6667, 0.0192), Tm at (0.4244, 0.3321, 0.6504) and Tm at (0.5000, 0.0000, 0.5000).

The mass density is 8.8 g/cm3. For the density of states at the Fermi level, the calculation gives 11.7 states/eV/f.u. The crystal system is triclinic. Its total magnetization is 0.00 μB per formula unit.

## b
Entry from the Alexandria database: an optimized crystal structure of Sm2Ho2Tm5 (PBE).

It has space group Ima2 (No. 46), with a = 14.8283 Å, b = 11.6208 Å, c = 6.6865 Å, α = 90.00°, β = 90.00° and γ = 90.00°. The inequivalent atoms are Sm at (0.1275, 0.0072, 0.0000), Ho at (0.0000, 0.0000, 0.5546), Ho at (0.2500, 0.5146, 0.9464), Tm at (0.0535, 0.2408, 0.3483), Tm at (0.1425, 0.7378, 0.1688) and Tm at (0.2500, 0.2460, 0.6501).

The mass density is 8.5 g/cm3. For the density of states at the Fermi level, the calculation gives 15.6 states/eV/f.u. The crystal system is orthorhombic. Its total magnetization is 0.00 μB per formula unit.

Structures ranked by computed energy, the most stable listed first: a, b.

## a
Entry from the Alexandria database: an optimized crystal structure of Sm4Ho2Tm5 (PBE).

It has space group C2/m (No. 12), with a = 23.6167 Å, b = 3.4507 Å, c = 8.7593 Å, α = 90.00°, β = 96.95° and γ = 90.00°. The inequivalent atoms are Sm at (0.0987, 0.0000, 0.2634), Sm at (0.1862, 0.0000, 0.9756), Ho at (0.0473, 0.0000, 0.8667), Tm at (0.0000, 0.0000, 0.5000), Tm at (0.1335, 0.5000, 0.6191) and Tm at (0.2310, 0.5000, 0.3273).

The mass density is 8.3 g/cm3. For the density of states at the Fermi level, the calculation gives 18.7 states/eV/f.u. The crystal system is monoclinic. Its total magnetization is 0.00 μB per formula unit.

## b
Entry from the Alexandria database: an optimized crystal structure of Sm4Ho2Tm5 (PBE).

It has space group C2/m (No. 12), with a = 19.0572 Å, b = 5.6256 Å, c = 6.5175 Å, α = 90.00°, β = 91.38° and γ = 90.00°. The inequivalent atoms are Sm at (0.0231, 0.0000, 0.2826), Sm at (0.1944, 0.5000, 0.0736), Ho at (0.0988, 0.5000, 0.5545), Tm at (0.0000, 0.5000, 0.0000), Tm at (0.1307, 0.0000, 0.8865) and Tm at (0.2092, 0.0000, 0.4010).

The mass density is 8.4 g/cm3. For the density of states at the Fermi level, the calculation gives 17.9 states/eV/f.u. The crystal system is monoclinic. Its total magnetization is 0.00 μB per formula unit.

Structures ranked by computed energy, the most stable listed first: b, a.

## a
Entry from the Alexandria database: an optimized crystal structure of SmHoTmZn (PBE).

It has space group P4mm (No. 99), with a = 3.5503 Å, b = 3.5503 Å, c = 8.6492 Å, α = 90.00°, β = 90.00° and γ = 90.00°. The inequivalent atoms are Sm at (0.0000, 0.0000, 0.0000), Ho at (0.5000, 0.5000, 0.7015), Tm at (0.5000, 0.5000, 0.2957) and Zn at (0.0000, 0.0000, 0.4949).

The mass density is 8.4 g/cm3. For the density of states at the Fermi level, the calculation gives 4.4 states/eV/f.u. The crystal system is tetragonal. Its total magnetization is 0.00 μB per formula unit.

## b
Entry from the Alexandria database: an optimized crystal structure of SmHoTmZn (PBE).

It has space group F-43m (No. 216), with a = 7.5424 Å, b = 7.5424 Å, c = 7.5424 Å, α = 90.00°, β = 90.00° and γ = 90.00°. The inequivalent atoms are Sm at (0.0000, 0.0000, 0.0000), Ho at (0.0000, 0.0000, 0.5000), Tm at (0.2500, 0.2500, 0.2500) and Zn at (0.2500, 0.2500, 0.7500).

The mass density is 8.5 g/cm3. For the density of states at the Fermi level, the calculation gives 4.6 states/eV/f.u. The crystal system is cubic. Its total magnetization is 0.00 μB per formula unit.

Structures ranked by computed energy, the most stable listed first: a, b.

## a
Entry from the Alexandria database: an optimized crystal structure of SmY2Ho (PBE).

It has space group P4/mmm (No. 123), with a = 5.0535 Å, b = 5.0535 Å, c = 5.0546 Å, α = 90.00°, β = 90.00° and γ = 90.00°. The inequivalent atoms are Sm at (0.0000, 0.0000, 0.0000), Y at (0.0000, 0.5000, 0.5000) and Ho at (0.5000, 0.5000, 0.0000).

The mass density is 6.3 g/cm3. For the density of states at the Fermi level, the calculation gives 5.9 states/eV/f.u. The crystal system is tetragonal. Its total magnetization is 0.00 μB per formula unit.

## b
Entry from the Alexandria database: an optimized crystal structure of SmY2Ho (PBE).

It has space group P1 (No. 1), with a = 3.6522 Å, b = 6.3053 Å, c = 6.7591 Å, α = 117.79°, β = 105.67° and γ = 90.02°. The inequivalent atoms are Sm at (0.0000, 0.0000, 0.0000), Y at (0.5025, 0.5033, 0.0050), Y at (0.7529, 0.0870, 0.5029) and Ho at (0.2524, 0.5852, 0.5024).

The mass density is 6.2 g/cm3. For the density of states at the Fermi level, the calculation gives 7.2 states/eV/f.u. The crystal system is triclinic. Its total magnetization is 0.00 μB per formula unit.

Structures ranked by computed energy, the most stable listed first: b, a.

## a
Entry from the Alexandria database: an optimized crystal structure of Sm2Y6Ho (PBE).

It has space group Ibam (No. 72), with a = 9.7104 Å, b = 17.2939 Å, c = 6.9351 Å, α = 90.00°, β = 90.00° and γ = 90.00°. The inequivalent atoms are Sm at (0.0000, 0.1673, 0.2500), Y at (0.1652, 0.3240, 0.0000), Y at (0.1686, 0.0115, 0.5000), Y at (0.1704, 0.3447, 0.5000) and Ho at (0.0000, 0.5000, 0.2500).

The mass density is 5.7 g/cm3. For the density of states at the Fermi level, the calculation gives 14.9 states/eV/f.u. The crystal system is orthorhombic. Its total magnetization is 0.00 μB per formula unit.

## b
Entry from the Alexandria database: an optimized crystal structure of Sm2Y6Ho (PBE).

It has space group C2/c (No. 15), with a = 12.8728 Å, b = 14.3405 Å, c = 6.5788 Å, α = 90.00°, β = 103.85° and γ = 90.00°. The inequivalent atoms are Sm at (0.1405, 0.0240, 0.3713), Y at (0.0368, 0.1873, 0.0052), Y at (0.1342, 0.4121, 0.8118), Y at (0.2400, 0.1992, 0.7265) and Ho at (0.0000, 0.3820, 0.2500).

The mass density is 5.6 g/cm3. For the density of states at the Fermi level, the calculation gives 12.0 states/eV/f.u. The crystal system is monoclinic. Its total magnetization is 0.00 μB per formula unit.

Structures ranked by computed energy, the most stable listed first: a, b.